(1)
Compound: Ac2Tl3FeO6
Source: Alexandria
Functional: PBE with a Hubbard U
Structure: optimized geometry

Summary:
**Calculated total energy**: -71.78 eV per cell
**Space-group type**: No. 12
**Mass density**: 9.11 Mg/m³

Cell lengths 6.2836, 6.2836, 6.7321 Å; angles 98.89, 98.89, 118.69 degrees
Last column: magnetic moment on the atom in μB.
Element x y z (fractional)
Ac 0.3319 0.6681 0.0000  0.01
Ac 0.6681 0.3319 0.0000  0.01
O 0.7692 0.7692 0.2125  0.07
O 0.3398 0.0601 0.1601  0.09
O 0.6602 0.9399 0.8399  0.09
O 0.2308 0.2308 0.7875  0.07
O 0.9399 0.6602 0.8399  0.09
O 0.0601 0.3398 0.1601  0.09
Tl 0.5000 0.5000 0.5000  0.01
Tl 0.8437 0.1563 0.5000  0.01
Tl 0.1563 0.8437 0.5000  0.01
Fe 0.0000 0.0000 0.0000  4.28

(2)
Compound: AcTl2FeO6
Source: Alexandria
Functional: PBE with a Hubbard U
Structure: optimized geometry

Summary:
**Calculated total energy**: -57.05 eV per cell
**Space-group type**: No. 1
**Mass density**: 8.94 Mg/m³

Cell lengths 5.7475, 5.7244, 6.0909 Å; angles 61.92, 62.00, 60.41 degrees
Last column: magnetic moment on the atom in μB.
Element x y z (fractional)
O 0.1514 0.3866 0.7845  -0.03
O 0.5718 0.2226 0.2400  -0.02
O 0.3856 0.6791 0.7828  -0.03
O 0.9622 0.5730 0.2408  -0.02
O 0.2280 0.9630 0.2378  -0.02
O 0.6799 0.1563 0.7796  -0.03
Tl 0.0186 0.0178 0.9422  0.00
Tl 0.5374 0.5388 0.3843  0.00
Ac 0.8017 0.8003 0.5977  -0.01
Fe 0.3251 0.3241 0.0255  1.18

(3)
Compound: Ac2UFeO6
Source: Alexandria
Functional: PBE with a Hubbard U
Structure: optimized geometry

Summary:
**Calculated total energy**: -80.08 eV per cell
**Fermi-level density of states**: 0.406 states/eV/atom
**Space-group type**: No. 99
**Mass density**: 9.27 Mg/m³

Cell lengths 4.4931, 5.7989, 5.7989 Å; angles 90.00, 90.00, 90.00 degrees
Last column: magnetic moment on the atom in μB.
Element x y z (fractional)
O 0.6884 0.2569 0.7431  -0.03
O 0.6884 0.7431 0.2569  -0.03
O 0.6884 0.7431 0.7431  -0.03
O 0.6884 0.2569 0.2569  -0.03
O 0.1180 0.0000 0.0000  -0.04
O 0.1567 0.5000 0.5000  0.00
Ac 0.0658 0.5000 0.0000  0.05
Ac 0.0658 0.0000 0.5000  0.05
U 0.6100 0.0000 0.0000  1.77
Fe 0.6767 0.5000 0.5000  -0.01

(4)
Compound: AcUFeO5
Source: Alexandria
Functional: PBE with a Hubbard U
Structure: optimized geometry

Summary:
**Calculated total energy**: -137.43 eV per cell
**Space-group type**: No. 15
**Mass density**: 7.63 Mg/m³

Cell lengths 6.1342, 6.1342, 8.0297 Å; angles 102.84, 102.84, 110.06 degrees
Last column: magnetic moment on the atom in μB.
Element x y z (fractional)
O 0.0794 0.9206 0.2500  -0.03
O 0.3560 0.2817 0.0838  0.00
O 0.7183 0.6440 0.4162  0.00
O 0.6440 0.7183 0.9162  0.00
O 0.9206 0.0794 0.7500  -0.03
O 0.1082 0.6996 0.9076  0.01
O 0.8918 0.3004 0.0924  0.01
O 0.6996 0.1082 0.4076  0.01
O 0.3004 0.8918 0.5924  0.01
O 0.2817 0.3560 0.5838  0.00
U 0.0000 0.0000 0.0000  1.12
U 0.0000 0.0000 0.5000  1.12
Fe 0.3195 0.6805 0.7500  3.72
Fe 0.6805 0.3195 0.2500  3.72
Ac 0.3272 0.6728 0.2500  0.01
Ac 0.6728 0.3272 0.7500  0.01

(5)
Compound: AcU2FeO8
Source: Alexandria
Functional: PBE with a Hubbard U
Structure: optimized geometry

Summary:
**Calculated total energy**: -105.43 eV per cell
**Fermi-level density of states**: 0.467 states/eV/atom
**Space-group type**: No. 10
**Mass density**: 7.84 Mg/m³

Cell lengths 5.1580, 5.1662, 7.0701 Å; angles 90.00, 90.00, 85.86 degrees
Last column: magnetic moment on the atom in μB.
Element x y z (fractional)
O 0.7907 0.2112 0.2197  0.00
O 0.6737 0.6748 0.0000  -0.03
O 0.2093 0.7888 0.2197  0.00
O 0.7907 0.2112 0.7803  0.00
O 0.3263 0.3252 0.0000  -0.03
O 0.3320 0.3299 0.5000  -0.02
O 0.2093 0.7888 0.7803  0.00
O 0.6680 0.6701 0.5000  -0.02
U 0.5000 0.5000 0.7603  0.58
U 0.5000 0.5000 0.2397  0.58
Fe 0.0000 0.0000 0.0000  -2.01
Ac 0.0000 0.0000 0.5000  0.00

(6)
Compound: Ac2UFeO8
Source: Alexandria
Functional: PBE with a Hubbard U
Structure: optimized geometry

Summary:
**Calculated total energy**: -97.23 eV per cell
**Space-group type**: No. 2
**Mass density**: 7.76 Mg/m³

Cell lengths 4.3036, 5.5789, 8.0157 Å; angles 99.60, 86.42, 98.78 degrees
Last column: magnetic moment on the atom in μB.
Element x y z (fractional)
O 0.0356 0.8324 0.2749  0.02
O 0.5825 0.7836 0.0213  0.00
O 0.9255 0.2805 0.1781  0.01
O 0.6659 0.7660 0.5368  0.07
O 0.3341 0.2340 0.4632  0.07
O 0.0745 0.7195 0.8219  0.01
O 0.9644 0.1676 0.7251  0.02
O 0.4175 0.2164 0.9787  0.00
Ac 0.5247 0.4605 0.7410  0.01
Ac 0.4753 0.5395 0.2590  0.01
U 0.0000 0.0000 0.0000  0.01
Fe 0.0000 0.0000 0.5000  3.70

(7)
Compound: AcUFe2O8
Source: Alexandria
Functional: PBE with a Hubbard U
Structure: optimized geometry

Summary:
**Calculated total energy**: -92.99 eV per cell
**Fermi-level density of states**: 0.259 states/eV/atom
**Space-group type**: No. 119
**Mass density**: 6.65 Mg/m³

Cell lengths 6.1184, 6.1184, 6.1184 Å; angles 107.79, 107.79, 112.88 degrees
Last column: magnetic moment on the atom in μB.
Element x y z (fractional)
Fe 0.5000 0.5000 0.0000  3.91
Fe 0.7500 0.2500 0.5000  -4.21
O 0.7817 0.0734 0.7083  -0.11
O 0.2989 0.1297 0.8308  -0.02
O 0.5319 0.7011 0.8308  -0.02
O 0.3651 0.0734 0.2917  -0.11
O 0.9266 0.2183 0.2917  -0.11
O 0.9266 0.6349 0.7083  -0.11
O 0.8703 0.7011 0.1692  -0.02
O 0.2989 0.4681 0.1692  -0.02
U 0.0000 0.0000 0.0000  -0.15
Ac 0.2500 0.7500 0.5000  -0.02

(8)
Compound: AcVFeO5
Source: Alexandria
Functional: PBE with a Hubbard U
Structure: optimized geometry

Summary:
**Calculated total energy**: -119.78 eV per cell
**Fermi-level density of states**: 0.000 states/eV/atom
**Space-group type**: No. 15
**Mass density**: 4.49 Mg/m³

Cell lengths 6.3001, 6.3001, 8.6341 Å; angles 107.94, 107.94, 92.79 degrees
Last column: magnetic moment on the atom in μB.
Element x y z (fractional)
Fe 0.3253 0.6747 0.2500  3.71
Fe 0.6747 0.3253 0.7500  3.71
O 0.8793 0.1207 0.7500  0.04
O 0.2755 0.7469 0.5917  0.01
O 0.2531 0.7245 0.9083  0.01
O 0.7469 0.2755 0.0917  0.01
O 0.3297 0.3278 0.6606  0.03
O 0.7245 0.2531 0.4083  0.01
O 0.3278 0.3297 0.1606  0.03
O 0.6722 0.6703 0.8394  0.03
O 0.1207 0.8793 0.2500  0.04
O 0.6703 0.6722 0.3394  0.03
Ac 0.0000 0.0000 0.5000  0.01
Ac 0.0000 0.0000 0.0000  0.01
V 0.6279 0.3721 0.2500  0.00
V 0.3721 0.6279 0.7500  0.00

(9)
Compound: Ac2VFeO6
Source: Alexandria
Functional: PBE with a Hubbard U
Structure: optimized geometry

Summary:
**Calculated total energy**: -77.34 eV per cell
**Space-group type**: No. 123
**Mass density**: 8.40 Mg/m³

Cell lengths 4.0832, 5.6388, 5.6388 Å; angles 90.00, 90.00, 90.00 degrees
Last column: magnetic moment on the atom in μB.
Element x y z (fractional)
Ac 0.1447 0.5000 0.0000  0.01
Ac 0.1447 0.0000 0.5000  0.01
O 0.6446 0.7495 0.7495  0.08
O 0.6446 0.2505 0.7495  0.08
O 0.1447 0.0000 0.0000  0.03
O 0.6446 0.2505 0.2505  0.08
O 0.1447 0.5000 0.5000  0.16
O 0.6446 0.7495 0.2505  0.08
Fe 0.6448 0.5000 0.5000  4.34
V 0.6447 0.0000 0.0000  1.92

(10)
Compound: Ac2FeWO8
Source: Alexandria
Functional: PBE with a Hubbard U
Structure: optimized geometry

Summary:
**Calculated total energy**: -88.24 eV per cell
**Fermi-level density of states**: 0.004 states/eV/atom
**Space-group type**: No. 2
**Mass density**: 7.73 Mg/m³

Cell lengths 4.5118, 5.5656, 7.1093 Å; angles 83.97, 93.30, 95.76 degrees
Last column: magnetic moment on the atom in μB.
Element x y z (fractional)
Ac 0.6824 0.4908 0.2450  0.01
Ac 0.3176 0.5092 0.7550  0.01
O 0.6859 0.7587 0.9434  -0.01
O 0.8116 0.2634 0.8587  0.00
O 0.1872 0.9649 0.7474  -0.01
O 0.1884 0.7366 0.1413  0.00
O 0.8083 0.6970 0.5450  0.08
O 0.3141 0.2413 0.0566  -0.01
O 0.8128 0.0351 0.2526  -0.01
O 0.1917 0.3030 0.4550  0.08
Fe 0.0000 0.0000 0.5000  3.71
W 0.0000 0.0000 0.0000  0.03

(11)
Compound: AcFeW2O8
Source: Alexandria
Functional: PBE with a Hubbard U
Structure: optimized geometry

Summary:
**Calculated total energy**: -88.22 eV per cell
**Space-group type**: No. 119
**Mass density**: 6.55 Mg/m³

Cell lengths 6.3673, 6.3673, 6.3673 Å; angles 106.89, 106.89, 114.77 degrees
Last column: magnetic moment on the atom in μB.
Element x y z (fractional)
O 0.5086 0.6880 0.8207  0.01
O 0.3120 0.1327 0.8207  0.01
O 0.7752 0.0863 0.6889  0.01
O 0.3120 0.4914 0.1793  0.01
O 0.3974 0.0863 0.3111  0.01
O 0.9137 0.6026 0.6889  0.01
O 0.9137 0.2248 0.3111  0.01
O 0.8673 0.6880 0.1793  0.01
W 0.5000 0.5000 0.0000  0.86
W 0.7500 0.2500 0.5000  0.04
Ac 0.2500 0.7500 0.5000  0.01
Fe 0.0000 0.0000 0.0000  3.85

(12)
Compound: AcFe2WO6
Source: Alexandria
Functional: PBE with a Hubbard U
Structure: optimized geometry

Summary:
**Calculated total energy**: -71.57 eV per cell
**Fermi-level density of states**: 0.000 states/eV/atom
**Space-group type**: No. 1
**Mass density**: 7.86 Mg/m³

Cell lengths 5.5791, 5.4864, 5.9365 Å; angles 62.18, 60.58, 59.64 degrees
Last column: magnetic moment on the atom in μB.
Element x y z (fractional)
Fe 0.0020 0.0086 0.9741  0.00
Fe 0.5275 0.5153 0.4231  -3.73
O 0.9314 0.6047 0.2304  0.01
O 0.1748 0.3356 0.7662  -0.01
O 0.5845 0.2752 0.2130  -0.02
O 0.3422 0.7084 0.7613  -0.04
O 0.7232 0.1740 0.7608  -0.03
O 0.2531 0.9487 0.2225  -0.03
Ac 0.7984 0.7762 0.6262  0.00
W 0.3245 0.3149 0.0375  0.95

The lowest mass density belongs to which entry? AcVFeO5

Which value of mass density does entry 1 give? 9.11 Mg/m³

Which value of calculated total energy does entry 2 give? -57.05 eV per cell

Which formula does entry 3 have? Ac2UFeO6